1.
First-principles (PBE-GGA) data for a geometry-optimized Sc2FeOs3 structure, as listed in the Open Quantum Materials Database.

Unit cell a=5.159 b=5.159 c=8.290 alpha=90.00 beta=90.00 gamma=120.00
Atoms (fractional coordinates):
Fe (0.000, 0.000, 0.000)
Fe (0.000, 0.000, 0.500)
Os (0.170, 0.339, 0.250)
Os (0.170, 0.830, 0.250)
Os (0.661, 0.830, 0.250)
Os (0.339, 0.170, 0.750)
Os (0.830, 0.170, 0.750)
Os (0.830, 0.661, 0.750)
Sc (0.667, 0.333, 0.066)
Sc (0.667, 0.333, 0.434)
Sc (0.333, 0.667, 0.566)
Sc (0.333, 0.667, 0.934)

---

2.
First-principles (PBE-GGA) data for a geometry-optimized Li6Hf4O11 structure, as listed in the Open Quantum Materials Database.

Values from the calculation:
Relative energy among the computed polymorphs: 92.8 meV/atom

Unit cell a=11.474 b=5.321 c=5.294 alpha=106.09 beta=96.95 gamma=122.23
Atoms (fractional coordinates):
Hf (0.911, 0.155, 0.002)
Hf (0.266, 0.582, 0.968)
Hf (0.598, 0.858, 0.981)
Hf (0.099, 0.886, 0.998)
Li (0.626, 0.501, 0.270)
Li (0.160, 0.710, 0.471)
Li (0.978, 0.950, 0.481)
Li (0.775, 0.295, 0.552)
Li (0.349, 0.287, 0.591)
Li (0.491, 0.073, 0.598)
O (0.135, 0.320, 0.207)
O (0.987, 0.626, 0.213)
O (0.799, 0.978, 0.237)
O (0.284, 0.959, 0.247)
O (0.579, 0.102, 0.309)
O (0.400, 0.722, 0.738)
O (0.079, 0.466, 0.747)
O (0.725, 0.025, 0.751)
O (0.908, 0.775, 0.755)
O (0.207, 0.120, 0.764)
O (0.515, 0.410, 0.900)

---

3.
First-principles (PBE-GGA) data for a geometry-optimized TbPr2In3AgPd2 structure, as listed in the Open Quantum Materials Database.

Unit cell a=3.940 b=7.905 c=7.905 alpha=119.87 beta=90.00 gamma=90.00
Atoms (fractional coordinates):
Ag (0.500, 0.998, 0.998)
In (0.000, 0.267, 0.267)
In (0.000, 0.996, 0.735)
In (0.000, 0.735, 0.996)
Pd (0.000, 0.665, 0.339)
Pd (0.000, 0.339, 0.665)
Pr (0.500, 0.411, 0.000)
Pr (0.500, 0.000, 0.411)
Tb (0.500, 0.590, 0.590)

---

4.
First-principles (PBE-GGA) data for a geometry-optimized Zr3Zn3IrPd2 structure, as listed in the Open Quantum Materials Database.

Unit cell a=7.415 b=7.415 c=3.279 alpha=90.00 beta=90.00 gamma=120.00
Atoms (fractional coordinates):
Ir (0.000, 0.000, 0.500)
Pd (0.667, 0.333, 0.000)
Pd (0.333, 0.667, 0.000)
Zn (0.281, 0.000, 0.000)
Zn (0.000, 0.281, 0.000)
Zn (0.719, 0.719, 0.000)
Zr (0.622, 0.000, 0.500)
Zr (0.378, 0.378, 0.500)
Zr (0.000, 0.622, 0.500)

---

5.
First-principles (PBE-GGA) data for a geometry-optimized MgAgSeO structure, as listed in the Open Quantum Materials Database.

Values from the calculation:
Relative energy among the computed polymorphs: 229.2 meV/atom

Unit cell a=7.071 b=7.071 c=6.348 alpha=90.00 beta=90.00 gamma=26.01
Atoms (fractional coordinates):
Ag (0.990, 0.990, 0.309)
Ag (0.010, 0.010, 0.809)
Mg (0.679, 0.679, 0.488)
Mg (0.321, 0.321, 0.988)
O (0.895, 0.895, 0.042)
O (0.105, 0.105, 0.542)
Se (0.657, 0.657, 0.054)
Se (0.343, 0.343, 0.554)

---

6.
First-principles (PBE-GGA) data for a geometry-optimized Tb2ZnIrO6 structure, as listed in the Open Quantum Materials Database.

Unit cell a=5.312 b=5.752 c=9.278 alpha=90.00 beta=124.61 gamma=90.00
Atoms (fractional coordinates):
Ir (0.000, 0.500, 0.000)
Ir (0.000, 0.000, 0.500)
O (0.744, 0.311, 0.059)
O (0.887, 0.804, 0.062)
O (0.373, 0.455, 0.246)
O (0.627, 0.955, 0.254)
O (0.113, 0.304, 0.438)
O (0.256, 0.811, 0.441)
O (0.744, 0.189, 0.559)
O (0.887, 0.696, 0.562)
O (0.373, 0.045, 0.746)
O (0.627, 0.545, 0.754)
O (0.113, 0.196, 0.938)
O (0.256, 0.689, 0.941)
Tb (0.776, 0.580, 0.249)
Tb (0.224, 0.080, 0.251)
Tb (0.776, 0.920, 0.749)
Tb (0.224, 0.420, 0.751)
Zn (0.500, 0.000, 0.000)
Zn (0.500, 0.500, 0.500)

---

We obtain uncorrected energy values of -9.4562; -7.7611; -4.6228; -5.9609; -4.1087; -7.1532 eV per atom for the records listed above, in that order.